1.
Density functional theory data (PBE) for a geometry-optimized Ba2Na3I7 structure.

Unit cell a=8.6063 b=8.5564 c=15.7534 alpha=105.76 beta=90.00 gamma=90.00
With the nearest neighbours (Å) after each atom.
Fractional positions:
Ba  0.7582  0.1267  0.7823  6 I 3.42-3.60
Ba  0.2582  0.8733  0.2177  6 I 3.42-3.60
Ba  0.2582  0.6556  0.7823  6 I 3.42-3.60
Ba  0.7582  0.3444  0.2177  6 I 3.42-3.60
Na  0.7317  0.7022  0.0000  4 I 3.07-3.16
Na  0.2317  0.2978  0.0000  4 I 3.07-3.16
Na  0.8374  0.9315  0.4063  5 I 3.25-3.40
Na  0.3374  0.0685  0.5937  5 I 3.25-3.40
Na  0.8374  0.5252  0.5937  5 I 3.25-3.40
Na  0.3374  0.4748  0.4063  5 I 3.25-3.40
I  0.6786  0.2818  0.4196  3 Na 3.25-3.40, 1 Ba 3.43
I  0.1786  0.7182  0.5804  3 Na 3.25-3.40, 1 Ba 3.43
I  0.1786  0.1378  0.4196  3 Na 3.25-3.40, 1 Ba 3.43
I  0.6786  0.8622  0.5804  3 Na 3.25-3.40, 1 Ba 3.43
I  0.0523  0.6070  0.3069  2 Na 3.27-3.35, 2 Ba 3.42-3.47
I  0.5523  0.3930  0.6931  2 Na 3.27-3.35, 2 Ba 3.42-3.47
I  0.5523  0.6999  0.3069  2 Na 3.27-3.35, 2 Ba 3.42-3.47
I  0.0523  0.3001  0.6931  2 Na 3.27-3.35, 2 Ba 3.42-3.47
I  0.8829  0.9466  0.1581  1 Na 3.07
I  0.3829  0.0534  0.8419  1 Na 3.07
I  0.8694  0.3608  0.0000  2 Na 3.15-3.16
I  0.3694  0.6392  0.0000  2 Na 3.15-3.16
I  0.8829  0.7885  0.8419  1 Na 3.07
I  0.3829  0.2115  0.1581  1 Na 3.07

Properties
The density comes out at 3.7 g/cm³. The calculation puts the electronic total energy at -3.03 eV/atom.

=====

2.
Density functional theory data (PBE) for a geometry-optimized Mn2InCoH structure.

Unit cell a=3.9135 b=3.9135 c=3.8216 alpha=90.00 beta=90.00 gamma=90.00
With the nearest neighbours (Å) after each atom.
Fractional positions:
H  0.0000  0.0000  0.0000  2 Co 1.91, 4 Mn 1.96
Mn  0.0000  0.5000  0.0000  2 H 1.96
Mn  0.5000  0.0000  0.0000  2 H 1.96
Co  0.0000  0.0000  0.5000  2 H 1.91
In  0.5000  0.5000  0.5000  8 Mn 2.73, 4 Co 2.77

Properties
The density comes out at 8.1 g/cm³. The calculation puts the electronic total energy at -6.25 eV/atom.

=====

3.
Density functional theory data (PBE) for a geometry-optimized Tb15Tm4Mg structure.

Unit cell a=4.9893 b=4.9893 c=25.0094 alpha=90.00 beta=90.00 gamma=90.00
With the nearest neighbours (Å) after each atom.
Fractional positions:
Tb  0.5000  0.5000  0.0000  8 Tb 3.51, 4 Mg 3.53
Tb  0.5000  0.5000  0.1971  8 Tb 3.50-3.57, 4 Tm 3.53
Tb  0.5000  0.5000  0.3992  4 Tm 3.53, 8 Tb 3.53-3.55
Tb  0.5000  0.5000  0.6008  4 Tm 3.53, 8 Tb 3.53-3.55
Tb  0.5000  0.5000  0.8029  8 Tb 3.50-3.57, 4 Tm 3.53
Tb  0.5000  0.0000  0.0987  8 Tb 3.50-3.53, 2 Mg 3.51, 2 Tm 3.52
Tb  0.5000  0.0000  0.2991  8 Tb 3.53-3.57, 4 Tm 3.54-3.55
Tb  0.5000  0.0000  0.5000  8 Tb 3.53-3.55, 4 Tm 3.54
Tb  0.5000  0.0000  0.7009  8 Tb 3.53-3.57, 4 Tm 3.54-3.55
Tb  0.5000  0.0000  0.9013  8 Tb 3.50-3.53, 2 Mg 3.51, 2 Tm 3.52
Tb  0.0000  0.5000  0.0987  8 Tb 3.50-3.53, 2 Mg 3.51, 2 Tm 3.52
Tb  0.0000  0.5000  0.2991  8 Tb 3.53-3.57, 4 Tm 3.54-3.55
Tb  0.0000  0.5000  0.5000  8 Tb 3.53-3.55, 4 Tm 3.54
Tb  0.0000  0.5000  0.7009  8 Tb 3.53-3.57, 4 Tm 3.54-3.55
Tb  0.0000  0.5000  0.9013  8 Tb 3.50-3.53, 2 Mg 3.51, 2 Tm 3.52
Tm  0.0000  0.0000  0.1983  12 Tb 3.52-3.55
Tm  0.0000  0.0000  0.3996  12 Tb 3.53-3.54
Tm  0.0000  0.0000  0.6004  12 Tb 3.53-3.54
Tm  0.0000  0.0000  0.8017  12 Tb 3.52-3.55
Mg  0.0000  0.0000  0.0000  12 Tb 3.51-3.53

Properties
For the formation energy, the calculation gives 0.02 eV per atom. The density comes out at 8.2 g/cm³. The calculation puts the electronic total energy at -4.43 eV/atom.

=====

4.
Density functional theory data (PBE) for a geometry-optimized RbLiBi structure.

Unit cell a=4.8378 b=4.8353 c=12.3782 alpha=90.65 beta=90.91 gamma=60.12
With the nearest neighbours (Å) after each atom.
Fractional positions:
Rb  0.6767  0.1699  0.3194  3 Bi 3.72
Rb  0.3233  0.8301  0.6806  3 Bi 3.72
Li  0.6659  0.1665  0.9742  3 Li 2.87, 3 Bi 3.03-3.04
Li  0.3341  0.8335  0.0258  3 Li 2.87, 3 Bi 3.03-3.04
Bi  0.9960  0.4990  0.8786  1 Bi 3.00, 6 Li 3.03-3.34
Bi  0.0040  0.5010  0.1214  1 Bi 3.00, 6 Li 3.03-3.34

Properties
For the formation energy, the calculation gives -0.30 eV per atom. The density comes out at 4.0 g/cm³. The calculation puts the electronic total energy at -2.55 eV/atom. The calculation puts the energy above the most stable polymorph in this dataset at 57 meV per atom.

=====

5.
Density functional theory data (PBE) for a geometry-optimized Th2ScNbN5 structure.

Unit cell a=3.4868 b=7.0708 c=10.4515 alpha=90.00 beta=90.00 gamma=104.27
With the nearest neighbours (Å) after each atom.
Fractional positions:
Th  0.8542  0.7085  0.7921  5 N 2.44-2.57
Th  0.1127  0.2254  0.6866  5 N 2.33-2.60
Th  0.1458  0.2915  0.2921  5 N 2.44-2.57
Th  0.8873  0.7746  0.1866  5 N 2.33-2.60
Sc  0.7833  0.5666  0.5065  6 N 2.17-2.37
Sc  0.2167  0.4334  0.0065  6 N 2.17-2.37
Nb  0.5323  0.0647  0.9641  4 N 2.00-2.20
Nb  0.4677  0.9353  0.4641  4 N 2.00-2.20
N  0.3747  0.7495  0.0044  1 Sc 2.17, 1 Nb 2.20
N  0.6815  0.3631  0.8748  1 Nb 2.25, 2 Sc 2.27
N  0.4913  0.9826  0.7806  1 Nb 2.00
N  0.2813  0.5626  0.6600  3 Th 2.33-2.44, 2 Sc 2.37
N  0.9463  0.8927  0.5549  2 Nb 2.01
N  0.6253  0.2505  0.5044  1 Sc 2.17, 1 Nb 2.20
N  0.3185  0.6369  0.3748  1 Nb 2.25, 2 Sc 2.27
N  0.5087  0.0174  0.2806  1 Nb 2.00
N  0.7187  0.4374  0.1600  3 Th 2.33-2.44, 2 Sc 2.37
N  0.0537  0.1073  0.0549  2 Nb 2.01

Properties
The density comes out at 8.9 g/cm³. The calculation puts the electronic total energy at -9.55 eV/atom.

=====

6.
Density functional theory data (PBE) for a geometry-optimized TmPu4Se5 structure.

Unit cell a=4.1140 b=4.1140 c=14.8649 alpha=97.95 beta=97.95 gamma=90.00
With the nearest neighbours (Å) after each atom.
Fractional positions:
Tm  0.0000  0.0000  0.0000  6 Se 2.84-2.91
Pu  0.4007  0.4007  0.8013  6 Se 2.90-2.96
Pu  0.8009  0.8009  0.6019  6 Se 2.91-2.97
Pu  0.1991  0.1991  0.3981  6 Se 2.91-2.97
Pu  0.5993  0.5993  0.1987  6 Se 2.90-2.96
Se  0.0973  0.0973  0.1946  1 Tm 2.84, 5 Pu 2.91-2.97
Se  0.5000  0.5000  0.0000  2 Pu 2.90, 4 Tm 2.91
Se  0.9027  0.9027  0.8054  1 Tm 2.84, 5 Pu 2.91-2.97
Se  0.2992  0.2992  0.5984  6 Pu 2.91-2.96
Se  0.7008  0.7008  0.4016  6 Pu 2.91-2.96

Properties
The density comes out at 10.4 g/cm³. The calculation puts the electronic total energy at -9.48 eV/atom.

=====

7.
Density functional theory data (PBE) for a geometry-optimized Mn2ZnNiRu structure.

Unit cell a=4.4951 b=4.1829 c=4.4951 alpha=90.00 beta=90.00 gamma=90.00
With the nearest neighbours (Å) after each atom.
Fractional positions:
Ru  0.5000  0.5000  0.5000  8 Mn 3.07, 4 Ni 3.18
Zn  0.0000  0.0000  0.0000  2 Ni 2.09, 4 Mn 2.25
Mn  0.0000  0.0000  0.5000  2 Zn 2.25
Mn  0.5000  0.0000  0.0000  2 Zn 2.25
Ni  0.0000  0.5000  0.0000  2 Zn 2.09

Properties
For the formation energy, the calculation gives 1.24 eV per atom. The density comes out at 6.6 g/cm³. The calculation puts the electronic total energy at -5.70 eV/atom.

=====

8.
Density functional theory data (PBE) for a geometry-optimized PmGe12Pt4 structure.

Unit cell a=7.5505 b=7.5505 c=7.5505 alpha=109.47 beta=109.47 gamma=109.47
With the nearest neighbours (Å) after each atom.
Fractional positions:
Pm  0.0000  0.0000  0.0000  12 Ge 3.35
Ge  0.8496  0.3542  0.2037  2 Pt 2.52, 2 Ge 2.54-2.62
Ge  0.3542  0.5046  0.1504  2 Pt 2.52, 2 Ge 2.54-2.62
Ge  0.7963  0.1504  0.6458  2 Pt 2.52, 2 Ge 2.54-2.62
Ge  0.3542  0.2037  0.8496  2 Pt 2.52, 2 Ge 2.54-2.62
Ge  0.2037  0.8496  0.3542  2 Pt 2.52, 2 Ge 2.54-2.62
Ge  0.6458  0.4954  0.8496  2 Pt 2.52, 2 Ge 2.54-2.62
Ge  0.5046  0.1504  0.3542  2 Pt 2.52, 2 Ge 2.54-2.62
Ge  0.4954  0.8496  0.6458  2 Pt 2.52, 2 Ge 2.54-2.62
Ge  0.6458  0.7963  0.1504  2 Pt 2.52, 2 Ge 2.54-2.62
Ge  0.8496  0.6458  0.4954  2 Pt 2.52, 2 Ge 2.54-2.62
Ge  0.1504  0.3542  0.5046  2 Pt 2.52, 2 Ge 2.54-2.62
Ge  0.1504  0.6458  0.7963  2 Pt 2.52, 2 Ge 2.54-2.62
Pt  0.0000  0.5000  0.0000  6 Ge 2.52
Pt  0.5000  0.0000  0.0000  6 Ge 2.52
Pt  0.5000  0.5000  0.5000  6 Ge 2.52
Pt  0.0000  0.0000  0.5000  6 Ge 2.52

Properties
For the formation energy, the calculation gives -0.39 eV per atom. The density comes out at 9.0 g/cm³. The calculation puts the electronic total energy at -5.35 eV/atom.

=====

9.
Density functional theory data (PBE) for a geometry-optimized Hf2PaGa structure.

Unit cell a=3.2300 b=3.2300 c=9.9594 alpha=80.67 beta=80.67 gamma=60.00
With the nearest neighbours (Å) after each atom.
Fractional positions:
Pa  0.5000  0.5000  0.5000  6 Pa 3.23, 6 Hf 3.23
Hf  0.2566  0.2566  0.2303  3 Ga 2.92, 6 Hf 3.23, 3 Pa 3.23
Hf  0.7434  0.7434  0.7697  3 Ga 2.92, 6 Hf 3.23, 3 Pa 3.23
Ga  0.0000  0.0000  0.0000  6 Hf 2.92, 6 Ga 3.23

Properties
For the formation energy, the calculation gives -0.04 eV per atom. The density comes out at 12.4 g/cm³. The calculation puts the electronic total energy at -8.15 eV/atom. The calculation puts the energy above the most stable polymorph in this dataset at 102 meV per atom.